Below is Mg2Cd2P after structural relaxation, with properties calculated at the PBE level.

Computed properties:
E (eV/cell): -20.99
ΔH_f (0 K) (eV per atom): -0.0130
Magnetic moment (μB per atom): 0.000

a = 6.8167 Å, b = 6.8167 Å, c = 4.8399 Å
α = 90.00°, β = 90.00°, γ = 90.00°
Closest atoms and distances in Å follow each position.
Space group P4/mbm (No. 127)
Asymmetric unit:
Mg (0.1617, 0.3383, 0.0000) [4 per cell]  2 P 2.56
Cd (0.1539, 0.6539, 0.5000) [4 per cell]  1 Cd 2.97, 6 Mg 3.00-3.24
P (0.0000, 0.0000, 0.0000) [2 per cell]  4 Mg 2.56

---

Below is Y3PCl3 after structural relaxation, with properties calculated at the PBE level.

Computed properties:
Formation energy from raw total energies (eV/atom): -1.82
E (eV/cell): -258.47
Magnetic moment (μB per atom): 0.000

a = 6.7584 Å, b = 6.7584 Å, c = 30.2215 Å
α = 90.00°, β = 90.00°, γ = 120.00°
Closest atoms and distances in Å follow each position.
Space group R-3 (No. 148, hexagonal axes)
Asymmetric unit:
Y (0.0000, 0.3390, 0.4494) [18 per cell]  2 P 2.71, 3 Cl 2.78-2.80
P (0.0000, 0.0000, 0.1667) [6 per cell]  6 Y 2.71
Cl (0.0000, 0.3298, 0.6054) [18 per cell]  3 Y 2.78-2.80

---

Below is CrAgW2 after structural relaxation, with properties calculated at the PBE level.

Computed properties:
E (eV/cell): -36.32
ΔH_f (0 K) (eV per atom): 0.5163
Magnetic moment (μB per atom): 0.374

a = 3.1811 Å, b = 3.1811 Å, c = 6.2520 Å
α = 90.00°, β = 90.00°, γ = 90.00°
Closest atoms and distances in Å follow each position.
Space group P4mm (No. 99)
Asymmetric unit:
Cr (0.0000, 0.0000, 0.0000) [1 per cell]  5 W 2.62-2.82, 4 Ag 2.78
Ag (0.5000, 0.5000, 0.7386) [1 per cell]  4 Cr 2.78, 5 W 2.88-2.97
W (0.0000, 0.0000, 0.4512) [1 per cell]  4 W 2.69, 1 Cr 2.82, 4 Ag 2.88
W (0.5000, 0.5000, 0.2138) [1 per cell]  4 Cr 2.62, 4 W 2.69

---

Below is NdCo6Si4 after structural relaxation, with properties calculated at the PBE level.

Computed properties:
Formation energy from raw total energies (eV/atom): -0.60
E (eV/cell): -75.68
Magnetic moment (μB per atom): 0.000

a = 6.6317 Å, b = 6.6317 Å, c = 3.6519 Å
α = 90.00°, β = 90.00°, γ = 120.00°
Closest atoms and distances in Å follow each position.
Space group P-6m2 (No. 187)
Asymmetric unit:
Nd (0.0000, 0.0000, 0.0000) [1 per cell]  6 Si 2.95, 6 Co 2.99
Co (0.2065, 0.4131, 0.5000) [3 per cell]  4 Si 2.34, 2 Co 2.52
Co (0.5341, 0.0683, 0.0000) [3 per cell]  5 Si 2.31-2.37
Si (0.3333, 0.6667, 0.0000) [1 per cell]  9 Co 2.31-2.34
Si (0.4030, 0.2015, 0.5000) [3 per cell]  6 Co 2.34-2.37, 2 Si 2.62

---

Below is ScBe2W2 after structural relaxation, with properties calculated at the PBE level.

Computed properties:
E (eV/cell): -78.51
ΔH_f (0 K) (eV per atom): 0.0866
Magnetic moment (μB per atom): 0.000

a = 6.4672 Å, b = 6.4672 Å, c = 3.2387 Å
α = 90.00°, β = 90.00°, γ = 90.00°
Closest atoms and distances in Å follow each position.
Space group P4/mbm (No. 127)
Asymmetric unit:
Sc (0.0000, 0.0000, 0.0000) [2 per cell]  4 Be 2.60, 8 W 2.89
Be (0.1138, 0.3862, 0.0000) [4 per cell]  1 Be 2.08
W (0.1735, 0.6735, 0.5000) [4 per cell]  6 Be 2.49-2.53

---

Below is GdY2Tm after structural relaxation, with properties calculated at the PBE level.

Computed properties:
E (eV/cell): -31.37
ΔH_f (0 K) (eV per atom): 0.0277
Magnetic moment (μB per atom): 1.763

a = 5.0224 Å, b = 5.0224 Å, c = 5.0373 Å
α = 90.00°, β = 90.00°, γ = 90.00°
Closest atoms and distances in Å follow each position.
Space group P4/mmm (No. 123)
Asymmetric unit:
Gd (0.0000, 0.0000, 0.0000) [1 per cell]  4 Tm 3.55, 8 Y 3.56
Y (0.0000, 0.5000, 0.5000) [2 per cell]  4 Y 3.55, 4 Tm 3.56, 4 Gd 3.56
Tm (0.5000, 0.5000, 0.0000) [1 per cell]  4 Gd 3.55, 8 Y 3.56

---

Below is Hf2BN after structural relaxation, with properties calculated at the PBE level.

Computed properties:
Formation energy from raw total energies (eV/atom): -0.02
E (eV/cell): -140.03
Magnetic moment (μB per atom): 0.000

a = 5.8650 Å, b = 5.8650 Å, c = 5.8650 Å
α = 90.00°, β = 90.00°, γ = 90.00°
Closest atoms and distances in Å follow each position.
Space group Fm-3m (No. 225)
Asymmetric unit:
Hf (0.2500, 0.2500, 0.2500) [8 per cell]  4 B 2.54, 4 N 2.54
B (0.0000, 0.0000, 0.0000) [4 per cell]  8 Hf 2.54
N (0.0000, 0.0000, 0.5000) [4 per cell]  8 Hf 2.54

---

Below is LaDy12Tm7 after structural relaxation, with properties calculated at the PBE level.

Computed properties:
E (eV/cell): -260.07
ΔH_f (0 K) (eV per atom): 0.2382
Magnetic moment (μB per atom): 0.000

a = 11.9351 Å, b = 11.9351 Å, c = 15.8325 Å
α = 90.00°, β = 90.00°, γ = 120.00°
Closest atoms and distances in Å follow each position.
Space group R-3 (No. 148, hexagonal axes)
Asymmetric unit:
La (0.0000, 0.0000, 0.0000) [3 per cell]  6 Tm 3.35
Dy (0.0204, 0.4503, 0.2182) [18 per cell]  4 Tm 3.20-3.41, 2 Dy 3.52
Dy (0.0512, 0.1896, 0.2939) [18 per cell]  3 Tm 3.38-3.75, 6 Dy 3.39-3.72
Tm (0.0000, 0.0000, 0.5000) [3 per cell]  6 Dy 3.41
Tm (0.0445, 0.5865, 0.5840) [18 per cell]  4 Dy 3.20-3.38, 1 Tm 3.20, 1 La 3.35

---

Below is HfBe9Re2 after structural relaxation, with properties calculated at the PBE level.

Computed properties:
E (eV/cell): -144.39
ΔH_f (0 K) (eV per atom): -0.3174
Magnetic moment (μB per atom): 0.000

a = 4.4110 Å, b = 4.4110 Å, c = 14.0784 Å
α = 90.00°, β = 90.00°, γ = 120.00°
Closest atoms and distances in Å follow each position.
Space group P6_3/mmc (No. 194)
Asymmetric unit:
Hf (0.3333, 0.6667, 0.2500) [2 per cell]  18 Be 2.55-2.84
Be (0.0000, 0.0000, 0.0000) [2 per cell]  6 Be 2.16
Be (0.0000, 0.0000, 0.2500) [2 per cell]  6 Be 2.21
Be (0.1693, 0.3387, 0.6230) [12 per cell]  7 Be 2.16-2.24
Be (0.3333, 0.6667, 0.7500) [2 per cell]  6 Be 2.18
Re (0.3333, 0.6667, 0.0336) [4 per cell]  12 Be 2.54-2.59, 3 Re 2.72

---

Below is Ba6AgAu2 after structural relaxation, with properties calculated at the PBE level.

Computed properties:
E (eV/cell): -48.63
ΔH_f (0 K) (eV per atom): -0.3747
Magnetic moment (μB per atom): 0.000

a = 7.9887 Å, b = 8.5897 Å, c = 13.9960 Å
α = 90.00°, β = 119.47°, γ = 90.00°
Closest atoms and distances in Å follow each position.
Space group P2_1/c (No. 14)
Asymmetric unit:
Ba (0.0754, 0.0587, 0.2498) [4 per cell]  1 Ag 3.28, 2 Au 3.36-3.43
Ba (0.2674, 0.6734, 0.0877) [4 per cell]  2 Au 3.35-3.47, 1 Ag 3.37
Ba (0.4030, 0.1826, 0.0708) [4 per cell]  1 Ag 3.27, 2 Au 3.36-3.62
Ag (0.0000, 0.0000, 0.0000) [2 per cell]  6 Ba 3.27-3.37
Au (0.3291, 0.1167, 0.7743) [4 per cell]  6 Ba 3.35-3.62

---

Below is CdRe2Ir after structural relaxation, with properties calculated at the PBE level.

Computed properties:
E (eV/cell): -33.30
ΔH_f (0 K) (eV per atom): 0.3426
Magnetic moment (μB per atom): 0.000

a = 2.7420 Å, b = 2.7420 Å, c = 8.4887 Å
α = 90.00°, β = 90.00°, γ = 90.00°
Closest atoms and distances in Å follow each position.
Space group P4/mmm (No. 123)
Asymmetric unit:
Cd (0.0000, 0.0000, 0.0000) [1 per cell]  4 Cd 2.74, 8 Re 3.01
Re (0.5000, 0.5000, 0.2707) [2 per cell]  4 Re 2.74, 4 Ir 2.75, 4 Cd 3.01
Ir (0.0000, 0.0000, 0.5000) [1 per cell]  4 Ir 2.74, 8 Re 2.75

---

Below is CeDyEr2 after structural relaxation, with properties calculated at the PBE level.

Computed properties:
E (eV/cell): -19.40
ΔH_f (0 K) (eV per atom): 0.0650
Magnetic moment (μB per atom): 0.108

a = 4.9722 Å, b = 4.9722 Å, c = 4.9506 Å
α = 90.00°, β = 90.00°, γ = 90.00°
Closest atoms and distances in Å follow each position.
Space group P4/mmm (No. 123)
Asymmetric unit:
Ce (0.0000, 0.0000, 0.0000) [1 per cell]  8 Er 3.51, 4 Dy 3.52
Dy (0.5000, 0.5000, 0.0000) [1 per cell]  8 Er 3.51, 4 Ce 3.52
Er (0.0000, 0.5000, 0.5000) [2 per cell]  4 Dy 3.51, 4 Ce 3.51, 4 Er 3.52

---

Below is MgCoTe after structural relaxation, with properties calculated at the PBE level.

Computed properties:
Formation energy from raw total energies (eV/atom): -0.23
E (eV/cell): -25.06
Magnetic moment (μB per atom): 0.328

a = 4.2844 Å, b = 4.2844 Å, c = 6.1142 Å
α = 90.00°, β = 90.00°, γ = 90.00°
Closest atoms and distances in Å follow each position.
Space group P4/nmm (No. 129, origin choice 2)
Asymmetric unit:
Mg (0.2500, 0.2500, 0.2289) [2 per cell]  4 Co 2.71, 5 Te 2.92-3.03
Co (0.2500, 0.7500, 0.5000) [2 per cell]  4 Te 2.64, 4 Mg 2.71
Te (0.2500, 0.2500, 0.7510) [2 per cell]  4 Co 2.64, 1 Mg 2.92

---

Below is Mg3PN after structural relaxation, with properties calculated at the PBE level.

Computed properties:
Formation energy from raw total energies (eV/atom): 0.32
E (eV/cell): -67.59
Magnetic moment (μB per atom): 0.000

a = 5.7465 Å, b = 20.4767 Å, c = 4.5950 Å
α = 90.00°, β = 90.00°, γ = 90.00°
Closest atoms and distances in Å follow each position.
Space group Cmcm (No. 63)
Asymmetric unit:
Mg (0.0000, 0.0000, 0.0000) [4 per cell]  2 Mg 2.30, 2 P 2.35
Mg (0.2458, 0.2976, 0.2500) [8 per cell]  1 N 2.06
P (0.0000, 0.1004, 0.7500) [4 per cell]  4 Mg 2.35-2.55
N (0.0000, 0.2732, 0.7500) [4 per cell]  2 Mg 2.06

---

Below is Co3SnW after structural relaxation, with properties calculated at the PBE level.

Computed properties:
E (eV/cell): -31.80
ΔH_f (0 K) (eV per atom): 1.2940
Magnetic moment (μB per atom): 0.028

a = 4.4805 Å, b = 4.4805 Å, c = 4.4805 Å
α = 90.00°, β = 90.00°, γ = 90.00°
Closest atoms and distances in Å follow each position.
Space group Pm-3m (No. 221)
Asymmetric unit:
Co (0.0000, 0.0000, 0.5000) [3 per cell]  2 W 2.24
Sn (0.5000, 0.5000, 0.5000) [1 per cell]  12 Co 3.17
W (0.0000, 0.0000, 0.0000) [1 per cell]  6 Co 2.24

---

Below is Mg3SiAs after structural relaxation, with properties calculated at the PBE level.

Computed properties:
Formation energy from raw total energies (eV/atom): 0.15
E (eV/cell): -14.08
Magnetic moment (μB per atom): 0.000

a = 4.9406 Å, b = 4.9406 Å, c = 4.9406 Å
α = 90.00°, β = 90.00°, γ = 90.00°
Closest atoms and distances in Å follow each position.
Space group Pm-3m (No. 221)
Asymmetric unit:
Mg (0.0000, 0.0000, 0.5000) [3 per cell]  2 Si 2.47
Si (0.0000, 0.0000, 0.0000) [1 per cell]  6 Mg 2.47
As (0.5000, 0.5000, 0.5000) [1 per cell]  12 Mg 3.49